Record 1
Below is Ni2H2Pd after structural relaxation, with properties calculated at the GGA-PBE level.

Cell lengths 4.9627, 4.9627, 3.7438 Å; angles 90.00, 90.00, 90.00 degrees
With the nearest neighbours (Å) after each atom.
Space group P4/mbm (No. 127)
Unique sites:
Ni 0.1819 0.3181 0.0000 [4 per cell]  2 H 1.87
H 0.1780 0.3220 0.5000 [4 per cell]  2 Pd 1.83, 2 Ni 1.87
Pd 0.0000 0.0000 0.5000 [2 per cell]  4 H 1.83

Its energy above the lowest structure with this stoichiometry is 134 meV per atom.

=====

Record 2
Below is Ni2H4Pd after structural relaxation, with properties calculated at the GGA-PBE level.

Cell lengths 7.3185, 7.4003, 5.2007 Å; angles 90.00, 134.38, 90.00 degrees
With the nearest neighbours (Å) after each atom.
Space group C2/c (No. 15)
Unique sites:
Ni 0.0000 0.0000 0.0000 [4 per cell]  6 H 1.72-1.73
Ni 0.2500 0.2500 0.0000 [4 per cell]  6 H 1.73
H 0.0034 0.2319 0.5376 [8 per cell]  3 Ni 1.73, 1 Pd 1.82
H 0.2150 0.0179 0.9611 [8 per cell]  3 Ni 1.72-1.73, 1 Pd 1.82
Pd 0.0000 0.3759 0.2500 [4 per cell]  4 H 1.82

Its energy above the lowest structure with this stoichiometry is 0 meV per atom.

=====

Record 3
Below is NiH4Pd5 after structural relaxation, with properties calculated at the GGA-PBE level.

Cell lengths 5.4931, 7.9870, 4.6646 Å; angles 90.00, 90.00, 90.00 degrees
With the nearest neighbours (Å) after each atom.
Space group Pmmn (No. 59, origin choice 2)
Unique sites:
Ni 0.2500 0.2500 0.2275 [2 per cell]  4 H 1.71-1.75
H 0.0162 0.2500 0.4686 [4 per cell]  1 Ni 1.71, 3 Pd 1.82-1.89
H 0.2500 0.0604 0.0387 [4 per cell]  1 Ni 1.75, 2 Pd 1.93
Pd 0.0009 0.5814 0.2491 [8 per cell]  3 H 1.89-2.03
Pd 0.2500 0.7500 0.7620 [2 per cell]  2 H 1.82

Its energy above the lowest structure with this stoichiometry is 52 meV per atom.

=====

Record 4
Below is Ni2H4Pd after structural relaxation, with properties calculated at the GGA-PBE level.

Cell lengths 2.6771, 4.3750, 4.8544 Å; angles 99.55, 105.73, 90.08 degrees
With the nearest neighbours (Å) after each atom.
Space group P-1 (No. 2)
Unique sites:
Ni 0.2497 0.2505 0.9998 [2 per cell]  6 H 1.72-1.84
H 0.1368 0.8704 0.7741 [2 per cell]  3 Ni 1.81-1.84, 2 Pd 2.00-2.01
H 0.3429 0.6232 0.1889 [2 per cell]  3 Ni 1.72-1.74
Pd 0.5000 0.0000 0.5000 [1 per cell]  6 H 2.00-2.01

Its energy above the lowest structure with this stoichiometry is 20 meV per atom.

=====

Record 5
Below is NiH8Pd6 after structural relaxation, with properties calculated at the GGA-PBE level.

Cell lengths 7.8647, 7.8647, 7.1841 Å; angles 90.00, 90.00, 120.00 degrees
With the nearest neighbours (Å) after each atom.
Space group R-3 (No. 148, hexagonal axes)
Unique sites:
Ni 0.0000 0.0000 0.0000 [3 per cell]  2 H 1.73
H 0.0000 0.0000 0.2407 [6 per cell]  1 Ni 1.73, 3 Pd 1.87
H 0.0378 0.4363 0.8046 [18 per cell]  3 Pd 1.82-1.92
Pd 0.0468 0.2428 0.6687 [18 per cell]  4 H 1.82-1.92

The value obtained for the final energy is -192.03 eV/cell.

=====

Record 6
Below is NiH2Pd after structural relaxation, with properties calculated at the GGA-PBE level.

Cell lengths 2.7706, 2.7706, 14.8357 Å; angles 90.00, 90.00, 120.00 degrees
With the nearest neighbours (Å) after each atom.
Space group R-3m (No. 166, hexagonal axes)
Unique sites:
Ni 0.0000 0.0000 0.0000 [3 per cell]  6 H 1.75
H 0.0000 0.0000 0.3806 [6 per cell]  3 Ni 1.75, 1 Pd 1.77
Pd 0.0000 0.0000 0.5000 [3 per cell]  2 H 1.77

Its energy above the lowest structure with this stoichiometry is 10 meV per atom.

=====

Record 7
Below is Ni2H8Pd3 after structural relaxation, with properties calculated at the GGA-PBE level.

Cell lengths 9.3983, 5.4595, 5.0578 Å; angles 90.00, 116.53, 90.00 degrees
With the nearest neighbours (Å) after each atom.
Space group C2/m (No. 12)
Unique sites:
Ni 0.2428 0.0000 0.4784 [4 per cell]  6 H 1.69-1.80
H 0.1306 0.2670 0.2904 [8 per cell]  2 Ni 1.78-1.80, 2 Pd 1.92-1.95
H 0.1361 0.0000 0.6741 [4 per cell]  1 Ni 1.69, 2 Pd 1.81
H 0.1409 0.5000 0.7061 [4 per cell]  1 Ni 1.73, 2 Pd 1.86
Pd 0.0000 0.2500 0.5000 [4 per cell]  6 H 1.81-1.95
Pd 0.0000 0.5000 0.0000 [2 per cell]  4 H 1.92

The value obtained for the final energy is -106.94 eV/cell.

=====

Record 8
Below is NiHPd4 after structural relaxation, with properties calculated at the GGA-PBE level.

Cell lengths 4.8408, 2.8028, 11.1947 Å; angles 90.00, 90.04, 90.00 degrees
With the nearest neighbours (Å) after each atom.
Space group C2/m (No. 12)
Unique sites:
Ni 0.0000 0.0000 0.0000 [2 per cell]  6 Pd 2.60, 6 Ni 2.80
H 0.0000 0.0000 0.5000 [2 per cell]  6 Pd 2.02-2.03
Pd 0.1664 0.5000 0.1818 [4 per cell]  3 Ni 2.60, 9 Pd 2.80-2.84
Pd 0.1676 0.5000 0.6094 [4 per cell]  3 H 2.02-2.03

The value obtained for the final energy is -59.81 eV/cell.

=====

For each record above, in turn, the calculated volume values are 46.10 50.32 102.33 53.90 128.28 32.87 116.09 75.94 Å³/f.u..